{"formula": "Cs3K3Rb10", "functional": "PBE", "state": "relaxed", "lattice": [[13.7748, 0.0000, 0.0000], [-6.8874, 11.9293, 0.0000], [0.0000, 0.0000, 9.1042]], "species": ["Cs", "Cs", "Cs", "K", "K", "K", "Rb", "Rb", "Rb", "Rb", "Rb", "Rb", "Rb", "Rb", "Rb", "Rb"], "fractional_positions": [[0.0000, 0.4123, 0.0000], [0.4123, 0.0000, 0.0000], [0.5877, 0.5877, 0.0000], [0.0000, 0.6049, 0.5000], [0.3951, 0.3951, 0.5000], [0.6049, 0.0000, 0.5000], [0.0000, 0.2272, 0.5000], [0.0000, 0.7795, 0.0000], [0.2205, 0.2205, 0.0000], [0.2272, 0.0000, 0.5000], [0.3333, 0.6667, 0.2610], [0.3333, 0.6667, 0.7390], [0.6667, 0.3333, 0.2610], [0.6667, 0.3333, 0.7390], [0.7728, 0.7728, 0.5000], [0.7795, 0.0000, 0.0000]], "formation_energy_kj_per_mol_atoms": 3, "final_energy_ev_per_cell": -15.05}

=====

{"formula": "Cs5KRb8", "functional": "PBE", "state": "relaxed", "lattice": [[-7.1075, 7.1075, 7.0909], [7.1075, -7.1075, 7.0909], [7.1075, 7.1075, -7.0909]], "species": ["Cs", "Cs", "Cs", "Cs", "Cs", "K", "Rb", "Rb", "Rb", "Rb", "Rb", "Rb", "Rb", "Rb"], "fractional_positions": [[0.0000, 0.0000, 0.0000], [0.1371, 0.2581, 0.6616], [0.5246, 0.8629, 0.1210], [0.5964, 0.4754, 0.3384], [0.7419, 0.4036, 0.8790], [0.2500, 0.7500, 0.5000], [0.0329, 0.6299, 0.7305], [0.1989, 0.4935, 0.1088], [0.3701, 0.1006, 0.4030], [0.3847, 0.0901, 0.8912], [0.5065, 0.6153, 0.7054], [0.6977, 0.9671, 0.5970], [0.8994, 0.3023, 0.2695], [0.9099, 0.8011, 0.2946]], "formation_energy_kj_per_mol_atoms": 5, "final_energy_ev_per_cell": -12.42}

=====

{"formula": "Cs5K2Rb4", "functional": "PBE", "state": "relaxed", "lattice": [[17.7483, -2.5060, 0.0000], [17.7483, 2.5060, 0.0000], [-1.1003, 0.0000, 12.2536]], "species": ["Cs", "Cs", "Cs", "Cs", "Cs", "K", "K", "Rb", "Rb", "Rb", "Rb"], "fractional_positions": [[0.0000, 0.0000, 0.0000], [0.3212, 0.3212, 0.5348], [0.3664, 0.3664, 0.9525], [0.6336, 0.6336, 0.0475], [0.6788, 0.6788, 0.4652], [0.0856, 0.0856, 0.6936], [0.9144, 0.9144, 0.3064], [0.2264, 0.2264, 0.8223], [0.4607, 0.4607, 0.6438], [0.5393, 0.5393, 0.3562], [0.7736, 0.7736, 0.1777]], "formation_energy_kj_per_mol_atoms": 2, "final_energy_ev_per_cell": -10.13}

=====

{"formula": "Cs19K6Rb4", "functional": "PBE", "state": "relaxed", "lattice": [[-9.2767, 9.2767, 9.2767], [9.2767, -9.2767, 9.2767], [9.2767, 9.2767, -9.2767]], "species": ["Cs", "Cs", "Cs", "Cs", "Cs", "Cs", "Cs", "Cs", "Cs", "Cs", "Cs", "Cs", "Cs", "Cs", "Cs", "Cs", "Cs", "Cs", "Cs", "K", "K", "K", "K", "K", "K", "Rb", "Rb", "Rb", "Rb"], "fractional_positions": [[0.0000, 0.0000, 0.0000], [0.0000, 0.2701, 0.2701], [0.0000, 0.7299, 0.7299], [0.0029, 0.2197, 0.6588], [0.2168, 0.9971, 0.6559], [0.2197, 0.6588, 0.0029], [0.2701, 0.0000, 0.2701], [0.2701, 0.2701, 0.0000], [0.3412, 0.5609, 0.3441], [0.3441, 0.3412, 0.5609], [0.4391, 0.7803, 0.7832], [0.5609, 0.3441, 0.3412], [0.6559, 0.2168, 0.9971], [0.6588, 0.0029, 0.2197], [0.7299, 0.0000, 0.7299], [0.7299, 0.7299, 0.0000], [0.7803, 0.7832, 0.4391], [0.7832, 0.4391, 0.7803], [0.9971, 0.6559, 0.2168], [0.1206, 0.5000, 0.6206], [0.3794, 0.8794, 0.5000], [0.5000, 0.3794, 0.8794], [0.5000, 0.6206, 0.1206], [0.6206, 0.1206, 0.5000], [0.8794, 0.5000, 0.3794], [0.0000, 0.0000, 0.3515], [0.0000, 0.3515, 0.0000], [0.3515, 0.0000, 0.0000], [0.6485, 0.6485, 0.6485]], "formation_energy_kj_per_mol_atoms": 5, "final_energy_ev_per_cell": -25.11}

=====

{"formula": "Cs8K3Rb3", "functional": "PBE", "state": "relaxed", "lattice": [[12.4206, -4.1235, 0.0000], [12.4206, 4.1235, 0.0000], [-10.9261, 0.0000, 13.6365]], "species": ["Cs", "Cs", "Cs", "Cs", "Cs", "Cs", "Cs", "Cs", "K", "K", "K", "Rb", "Rb", "Rb"], "fractional_positions": [[0.0608, 0.0608, 0.2794], [0.2152, 0.2152, 0.8645], [0.2920, 0.2920, 0.6495], [0.3644, 0.3644, 0.4235], [0.6356, 0.6356, 0.5765], [0.7080, 0.7080, 0.3505], [0.7848, 0.7848, 0.1355], [0.9392, 0.9392, 0.7206], [0.4300, 0.4300, 0.2033], [0.5000, 0.5000, 0.0000], [0.5700, 0.5700, 0.7967], [0.0000, 0.0000, 0.5000], [0.1362, 0.1362, 0.0727], [0.8638, 0.8638, 0.9273]], "formation_energy_kj_per_mol_atoms": 1, "final_energy_ev_per_cell": -12.93}

=====

{"formula": "Cs3KRb4", "functional": "PBE", "state": "relaxed", "lattice": [[5.7414, 0.0000, 0.0000], [0.0000, 5.7414, 0.0000], [0.0000, 0.0000, 23.5545]], "species": ["Cs", "Cs", "Cs", "K", "Rb", "Rb", "Rb", "Rb"], "fractional_positions": [[0.0000, 0.0000, 0.0000], [0.0000, 0.0000, 0.2597], [0.0000, 0.0000, 0.7403], [0.0000, 0.0000, 0.5000], [0.5000, 0.5000, 0.1295], [0.5000, 0.5000, 0.3921], [0.5000, 0.5000, 0.6079], [0.5000, 0.5000, 0.8705]], "formation_energy_kj_per_mol_atoms": 0, "final_energy_ev_per_cell": -7.50}

=====

{"formula": "CsK5Rb2", "functional": "PBE", "state": "relaxed", "lattice": [[-2.3655, 7.5197, 9.2098], [2.3655, -7.5197, 9.2098], [2.3655, 7.5197, -9.2098]], "species": ["Cs", "K", "K", "K", "K", "K", "Rb", "Rb"], "fractional_positions": [[0.0000, 0.0000, 0.0000], [0.1416, 0.3724, 0.7692], [0.3968, 0.6276, 0.7692], [0.5000, 0.0000, 0.5000], [0.6032, 0.3724, 0.2308], [0.8584, 0.6276, 0.2308], [0.2480, 0.7480, 0.5000], [0.7520, 0.2520, 0.5000]], "formation_energy_kj_per_mol_atoms": 1, "final_energy_ev_per_cell": -8.18}

=====

{"formula": "CsK4Rb", "functional": "PBE", "state": "relaxed", "lattice": [[3.5220, -9.9236, 0.0000], [3.5220, 9.9236, 0.0000], [0.0000, 0.0000, 7.0151]], "species": ["Cs", "K", "K", "K", "K", "Rb"], "fractional_positions": [[0.0000, 0.0000, 0.0000], [0.1760, 0.8240, 0.5000], [0.3243, 0.6757, 0.0000], [0.6757, 0.3243, 0.0000], [0.8240, 0.1760, 0.5000], [0.5000, 0.5000, 0.5000]], "formation_energy_kj_per_mol_atoms": 0, "final_energy_ev_per_cell": -6.18}

=====

{"formula": "CsKRb", "functional": "PBE", "state": "relaxed", "lattice": [[-2.7716, 2.7716, 8.9847], [2.7716, -2.7716, 8.9847], [2.7716, 2.7716, -8.9847]], "species": ["Cs", "K", "Rb"], "fractional_positions": [[0.0000, 0.0000, 0.0000], [0.3297, 0.3297, 0.0000], [0.6851, 0.6851, 0.0000]], "formation_energy_kj_per_mol_atoms": 1, "final_energy_ev_per_cell": -2.90}

=====

{"formula": "CsK10Rb2", "functional": "PBE", "state": "relaxed", "lattice": [[0.0000, 10.9380, 11.0365], [4.3485, 0.0000, 11.0365], [4.3485, 10.9380, 0.0000]], "species": ["Cs", "K", "K", "K", "K", "K", "K", "K", "K", "K", "K", "Rb", "Rb"], "fractional_positions": [[0.0000, 0.0000, 0.0000], [0.0000, 0.0000, 0.5000], [0.0054, 0.6409, 0.3591], [0.2884, 0.5037, 0.4963], [0.3591, 0.9946, 0.0054], [0.4963, 0.7116, 0.2884], [0.5000, 0.5000, 0.0000], [0.5037, 0.2884, 0.7116], [0.6409, 0.0054, 0.9946], [0.7116, 0.4963, 0.5037], [0.9946, 0.3591, 0.6409], [0.0000, 0.5000, 0.0000], [0.5000, 0.0000, 0.5000]], "formation_energy_kj_per_mol_atoms": 2, "final_energy_ev_per_cell": -13.44}

=====

{"formula": "CsK4Rb5", "functional": "PBE", "state": "relaxed", "lattice": [[5.1563, 0.0000, 0.0000], [0.0000, 5.1563, 0.0000], [0.0000, 0.0000, 32.1066]], "species": ["Cs", "K", "K", "K", "K", "Rb", "Rb", "Rb", "Rb", "Rb"], "fractional_positions": [[0.0000, 0.0000, 0.0000], [0.0000, 0.0000, 0.2133], [0.0000, 0.0000, 0.4041], [0.0000, 0.0000, 0.5959], [0.0000, 0.0000, 0.7867], [0.5000, 0.5000, 0.1182], [0.5000, 0.5000, 0.3084], [0.5000, 0.5000, 0.5000], [0.5000, 0.5000, 0.6916], [0.5000, 0.5000, 0.8818]], "formation_energy_kj_per_mol_atoms": 1, "final_energy_ev_per_cell": -10.00}

=====

{"formula": "Cs3KRb6", "functional": "PBE", "state": "relaxed", "lattice": [[12.7290, 0.0000, 0.0000], [0.0000, 12.1352, 0.0000], [-10.4278, 0.0000, 12.9370]], "species": ["Cs", "Cs", "Cs", "Cs", "Cs", "Cs", "K", "K", "Rb", "Rb", "Rb", "Rb", "Rb", "Rb", "Rb", "Rb", "Rb", "Rb", "Rb", "Rb"], "fractional_positions": [[0.0000, 0.0000, 0.0000], [0.0000, 0.5000, 0.5000], [0.3057, 0.1349, 0.4499], [0.3057, 0.3651, 0.9499], [0.6943, 0.6349, 0.0501], [0.6943, 0.8651, 0.5501], [0.5000, 0.0000, 0.0000], [0.5000, 0.5000, 0.5000], [0.1279, 0.1063, 0.6473], [0.1279, 0.3937, 0.1473], [0.1665, 0.7494, 0.3024], [0.1665, 0.7506, 0.8024], [0.4316, 0.7006, 0.1879], [0.4316, 0.7994, 0.6879], [0.5684, 0.2006, 0.3121], [0.5684, 0.2994, 0.8121], [0.8335, 0.2494, 0.1976], [0.8335, 0.2506, 0.6976], [0.8721, 0.6063, 0.8527], [0.8721, 0.8937, 0.3527]], "formation_energy_kj_per_mol_atoms": 3, "final_energy_ev_per_cell": -18.31}

=====

{"formula": "CsK7Rb6", "functional": "PBE", "state": "relaxed", "lattice": [[-4.3411, 16.9980, 8.1387], [4.3411, -16.9980, 8.1387], [4.3411, 16.9980, -8.1387]], "species": ["Cs", "Cs", "K", "K", "K", "K", "K", "K", "K", "K", "K", "K", "K", "K", "K", "K", "Rb", "Rb", "Rb", "Rb", "Rb", "Rb", "Rb", "Rb", "Rb", "Rb", "Rb", "Rb"], "fractional_positions": [[0.2500, 0.2500, 0.0000], [0.7500, 0.7500, 0.0000], [0.0277, 0.7367, 0.7644], [0.1007, 0.0086, 0.3690], [0.1396, 0.5086, 0.9079], [0.2500, 0.7500, 0.5000], [0.3604, 0.2683, 0.3690], [0.3993, 0.7683, 0.9079], [0.4723, 0.2367, 0.7089], [0.5277, 0.7633, 0.2911], [0.6007, 0.2317, 0.0921], [0.6396, 0.7317, 0.6310], [0.7500, 0.2500, 0.5000], [0.8604, 0.4914, 0.0921], [0.8993, 0.9914, 0.6310], [0.9723, 0.2633, 0.2356], [0.0312, 0.4355, 0.1331], [0.1054, 0.2426, 0.3480], [0.1975, 0.0645, 0.5957], [0.3025, 0.8981, 0.8669], [0.3946, 0.7426, 0.1371], [0.4688, 0.6019, 0.4043], [0.5312, 0.3981, 0.5957], [0.6054, 0.2574, 0.8629], [0.6975, 0.1019, 0.1331], [0.8025, 0.9355, 0.4043], [0.8946, 0.7574, 0.6520], [0.9688, 0.5645, 0.8669]], "formation_energy_kj_per_mol_atoms": 3, "final_energy_ev_per_cell": -27.74}

=====

{"formula": "Cs4K5Rb3", "functional": "PBE", "state": "relaxed", "lattice": [[11.0911, -4.2296, 0.0000], [11.0911, 4.2296, 0.0000], [-6.9548, 0.0000, 11.8958]], "species": ["Cs", "Cs", "Cs", "Cs", "K", "K", "K", "K", "K", "Rb", "Rb", "Rb"], "fractional_positions": [[0.0794, 0.0794, 0.4242], [0.2014, 0.2014, 0.8780], [0.7986, 0.7986, 0.1220], [0.9206, 0.9206, 0.5758], [0.0000, 0.0000, 0.0000], [0.3265, 0.3265, 0.6433], [0.4505, 0.4505, 0.3032], [0.5495, 0.5495, 0.6968], [0.6735, 0.6735, 0.3567], [0.2373, 0.2373, 0.2689], [0.5000, 0.5000, 0.0000], [0.7627, 0.7627, 0.7311]], "formation_energy_kj_per_mol_atoms": 3, "final_energy_ev_per_cell": -11.37}

=====

{"formula": "CsK12Rb6", "functional": "PBE", "state": "relaxed", "lattice": [[8.2781, 4.7793, 6.6237], [-8.2781, 4.7793, 6.6237], [0.0000, -9.5587, 6.6237]], "species": ["Cs", "K", "K", "K", "K", "K", "K", "K", "K", "K", "K", "K", "K", "Rb", "Rb", "Rb", "Rb", "Rb", "Rb"], "fractional_positions": [[0.0000, 0.0000, 0.0000], [0.0488, 0.3786, 0.1592], [0.1592, 0.0488, 0.3786], [0.2086, 0.5544, 0.4724], [0.3786, 0.1592, 0.0488], [0.4456, 0.5276, 0.7914], [0.4724, 0.2086, 0.5544], [0.5276, 0.7914, 0.4456], [0.5544, 0.4724, 0.2086], [0.6214, 0.8408, 0.9512], [0.7914, 0.4456, 0.5276], [0.8408, 0.9512, 0.6214], [0.9512, 0.6214, 0.8408], [0.1165, 0.2792, 0.7262], [0.2738, 0.8835, 0.7208], [0.2792, 0.7262, 0.1165], [0.7208, 0.2738, 0.8835], [0.7262, 0.1165, 0.2792], [0.8835, 0.7208, 0.2738]], "formation_energy_kj_per_mol_atoms": 4, "final_energy_ev_per_cell": -19.13}

=====

{"formula": "Cs4KRb", "functional": "PBE", "state": "relaxed", "lattice": [[8.4320, 0.0000, 0.0000], [0.0000, 10.1530, 0.0000], [-0.0371, 0.0000, 14.5551]], "species": ["Cs", "Cs", "Cs", "Cs", "Cs", "Cs", "Cs", "Cs", "K", "K", "Rb", "Rb"], "fractional_positions": [[0.2484, 0.2500, 0.4200], [0.2495, 0.9996, 0.7446], [0.2495, 0.5004, 0.7446], [0.2499, 0.7500, 0.0871], [0.7501, 0.2500, 0.9129], [0.7505, 0.0004, 0.2554], [0.7505, 0.4996, 0.2554], [0.7516, 0.7500, 0.5800], [0.2514, 0.7500, 0.4167], [0.7486, 0.2500, 0.5833], [0.2504, 0.2500, 0.0821], [0.7496, 0.7500, 0.9179]], "formation_energy_kj_per_mol_atoms": 1, "final_energy_ev_per_cell": -10.87}

=====

{"formula": "CsK3Rb6", "functional": "PBE", "state": "relaxed", "lattice": [[10.5447, 0.0000, 0.0000], [0.0000, 12.7936, 0.0000], [-10.3751, 0.0000, 13.3229]], "species": ["Cs", "Cs", "K", "K", "K", "K", "K", "K", "Rb", "Rb", "Rb", "Rb", "Rb", "Rb", "Rb", "Rb", "Rb", "Rb", "Rb", "Rb"], "fractional_positions": [[0.0000, 0.0000, 0.0000], [0.0000, 0.5000, 0.5000], [0.1158, 0.1824, 0.3609], [0.1158, 0.3176, 0.8609], [0.5000, 0.0000, 0.0000], [0.5000, 0.5000, 0.5000], [0.8842, 0.6824, 0.1391], [0.8842, 0.8176, 0.6391], [0.1294, 0.1202, 0.6427], [0.1294, 0.3798, 0.1427], [0.3515, 0.6378, 0.8693], [0.3515, 0.8622, 0.3693], [0.4249, 0.6688, 0.1730], [0.4249, 0.8312, 0.6730], [0.5751, 0.1688, 0.3270], [0.5751, 0.3312, 0.8270], [0.6485, 0.1378, 0.6307], [0.6485, 0.3622, 0.1307], [0.8706, 0.6202, 0.8573], [0.8706, 0.8798, 0.3573]], "formation_energy_kj_per_mol_atoms": 3, "final_energy_ev_per_cell": -19.27}

=====

{"formula": "Cs7KRb2", "functional": "PBE", "state": "relaxed", "lattice": [[4.8624, -21.8607, 0.0000], [4.8624, 21.8607, 0.0000], [0.0000, 0.0000, 5.0745]], "species": ["Cs", "Cs", "Cs", "Cs", "Cs", "Cs", "Cs", "K", "Rb", "Rb"], "fractional_positions": [[0.0000, 0.0000, 0.0000], [0.1572, 0.3542, 0.0000], [0.3011, 0.6989, 0.5000], [0.3542, 0.1572, 0.0000], [0.6458, 0.8428, 0.0000], [0.6989, 0.3011, 0.5000], [0.8428, 0.6458, 0.0000], [0.5000, 0.5000, 0.5000], [0.1999, 0.8001, 0.0000], [0.8001, 0.1999, 0.0000]], "formation_energy_kj_per_mol_atoms": 3, "final_energy_ev_per_cell": -8.71}

=====

{"formula": "CsK7Rb5", "functional": "PBE", "state": "relaxed", "lattice": [[-4.4494, 7.9629, 7.8600], [4.4494, -7.9629, 7.8600], [4.4494, 7.9629, -7.8600]], "species": ["Cs", "K", "K", "K", "K", "K", "K", "K", "Rb", "Rb", "Rb", "Rb", "Rb"], "fractional_positions": [[0.0000, 0.0000, 0.0000], [0.1963, 0.6963, 0.5000], [0.2216, 0.4983, 0.7232], [0.3580, 0.3580, 0.0000], [0.3588, 0.9962, 0.3625], [0.6337, 0.9962, 0.6375], [0.6390, 0.6390, 0.0000], [0.7751, 0.4983, 0.2768], [0.0002, 0.4966, 0.0034], [0.0002, 0.9968, 0.5037], [0.4932, 0.4966, 0.4963], [0.4932, 0.9968, 0.9966], [0.7999, 0.2999, 0.5000]], "formation_energy_kj_per_mol_atoms": 3, "final_energy_ev_per_cell": -12.95}